Record 1
Entry from Alexandria: a relaxed structure of Tm5PuSc (PBE).

Lattice parameters (Å, degrees): 11.305 8.374 5.625 90.00 97.69 90.00
Space group C2/m (No. 12)
Symmetry-distinct sites (fractional):
Tm1 0.000 0.000 0.000
Tm2 0.000 0.316 0.500
Tm3 0.244 0.000 0.583
Pu1 0.000 0.000 0.500
Sc1 0.000 0.500 0.000

The value obtained for the spin magnetization is 5.9 μB per formula unit. For the formation energy, the calculation gives 0.96 eV/atom.


Record 2
Entry from Alexandria: a relaxed structure of CsCdHg2S (PBE).

Lattice parameters (Å, degrees): 5.785 5.785 5.257 90.00 90.00 90.00
Space group P4/mmm (No. 123)
Symmetry-distinct sites (fractional):
Cs1 0.000 0.000 0.000
Cd1 0.500 0.500 0.500
Hg1 0.000 0.500 0.500
S1 0.500 0.500 0.000

The uncorrected formation energy is -0.280 eV/atom. The value obtained for the spin magnetization is 0.0 μB per formula unit.


Record 3
Entry from Alexandria: a relaxed structure of CaPuSn2 (PBE).

Lattice parameters (Å, degrees): 4.936 4.936 4.482 90.00 90.00 90.00
Space group P4/mmm (No. 123)
Symmetry-distinct sites (fractional):
Ca1 0.000 0.000 0.000
Pu1 0.500 0.500 0.000
Sn1 0.000 0.500 0.500

The value obtained for the spin magnetization is 5.8 μB per formula unit. For the formation energy, the calculation gives -0.44 eV/atom.


Record 4
Entry from Alexandria: a relaxed structure of SrSbIr2 (PBE).

Lattice parameters (Å, degrees): 3.077 5.119 10.517 90.00 90.00 90.00
Space group Imm2 (No. 44)
Symmetry-distinct sites (fractional):
Sr1 0.000 0.000 0.000
Sb1 0.000 0.500 0.785
Ir1 0.000 0.000 0.500
Ir2 0.000 0.500 0.211

The uncorrected formation energy is 0.070 eV/atom. The value obtained for the spin magnetization is 0.0 μB per formula unit.


> What is the spin magnetization in the second record?

0.0 μB per formula unit


> Look up the spin magnetization of the second one.

0.0 μB per formula unit


> Which formula does entry 4 have?

SrSbIr2